Entry 1:
This record from Alexandria describes BaLa3 after structural relaxation. The functional is GGA-PBE.

Unit cell a=6.7251 b=6.7251 c=3.8118 alpha=90.00 beta=90.00 gamma=110.10
With the nearest neighbours (Å) after each atom.
Sites, in units of the cell vectors:
Ba1 0.0000 0.0000 0.0000  2 Ba 3.81, 10 La 3.85-3.87
La1 0.0000 0.5000 0.5000  8 La 3.81-3.87, 4 Ba 3.87
La2 0.5000 0.0000 0.5000  8 La 3.81-3.87, 4 Ba 3.87
La3 0.5000 0.5000 0.0000  10 La 3.81-3.87, 2 Ba 3.85

Values from the calculation:
Space group ... No. 65
Total magnetic moment ... 0.00 μB per cell
N(E_F) ... 7.3 states/eV/f.u.
Density ... 5.68 Mg/m³
Energy relative to the elements ... 151 meV per atom



Entry 2:
This record from Alexandria describes AgMoPt4 after structural relaxation. The functional is GGA-PBE.

Unit cell a=5.2480 b=5.2480 c=5.2480 alpha=60.00 beta=60.00 gamma=60.00
With the nearest neighbours (Å) after each atom.
Sites, in units of the cell vectors:
Ag1 0.0000 0.0000 0.0000  12 Pt 3.08, 4 Mo 3.21
Mo1 0.7500 0.7500 0.7500  12 Pt 3.08, 4 Ag 3.21
Pt1 0.3750 0.3750 0.3750  6 Pt 2.62
Pt2 0.3750 0.3750 0.8749  6 Pt 2.62
Pt3 0.3750 0.8749 0.3750  6 Pt 2.62
Pt4 0.8749 0.3750 0.3750  6 Pt 2.62

Values from the calculation:
Space group ... No. 216
Total magnetic moment ... 1.89 μB per cell
N(E_F) ... 8.7 states/eV/f.u.
Density ... 15.99 Mg/m³
Energy relative to the elements ... 184 meV per atom



Entry 3:
This record from Alexandria describes Hf4TlTc after structural relaxation. The functional is GGA-PBE.

Unit cell a=4.7157 b=4.7157 c=7.9575 alpha=107.20 beta=107.20 gamma=59.80
With the nearest neighbours (Å) after each atom.
Sites, in units of the cell vectors:
Hf1 0.1145 0.1145 0.3407  1 Tc 2.55
Hf2 0.3658 0.3658 0.0966  3 Tc 2.81-2.82, 1 Tl 3.02, 3 Hf 3.08
Hf3 0.6342 0.6342 0.9034  3 Tc 2.81-2.82, 1 Tl 3.02, 3 Hf 3.08
Hf4 0.8855 0.8855 0.6593  1 Tc 2.55
Tl1 0.5000 0.5000 0.5000  8 Hf 2.97-3.02
Tc1 0.0000 0.0000 0.0000  8 Hf 2.55-2.82

Values from the calculation:
Space group ... No. 12
Total magnetic moment ... 0.00 μB per cell
N(E_F) ... 7.0 states/eV/f.u.
Density ... 11.74 Mg/m³
Energy relative to the elements ... 203 meV per atom